Record 1
# Pm2VBiO6 GGA+U relaxed
data_Pm2VBiO6
_cell_length_a 5.447
_cell_length_b 5.447
_cell_length_c 5.394
_cell_angle_alpha 90.00
_cell_angle_beta 90.00
_cell_angle_gamma 90.00
_symmetry_space_group_name_H-M 'P 4 m m'
_symmetry_Int_Tables_number 99
loop_
_symmetry_equiv_pos_as_xyz
'x,y,z'
'-y,x,z'
'-x,-y,z'
'y,-x,z'
'-x,y,z'
'y,x,z'
'x,-y,z'
'-y,-x,z'
loop_
_atom_site_label
_atom_site_type_symbol
_atom_site_fract_x
_atom_site_fract_y
_atom_site_fract_z
Pm1 Pm 0.000 0.500 0.000
V1 V 0.000 0.000 0.600
Bi1 Bi 0.500 0.500 0.564
O1 O 0.000 0.000 0.245
O2 O 0.237 0.237 0.754
O3 O 0.500 0.500 0.138
# * uncorrected energy: -72.98 eV for the cell shown

Record 2
# PmV2BiO8 GGA+U relaxed
data_PmV2BiO8
_cell_length_a 5.8593
_cell_length_b 5.8593
_cell_length_c 6.8391
_cell_angle_alpha 90.00
_cell_angle_beta 90.00
_cell_angle_gamma 120.00
_symmetry_space_group_name_H-M 'P -3 m 1'
_symmetry_Int_Tables_number 164
_symmetry_space_group_name_Hall '-P 3 2"'
loop_
_atom_site_label
_atom_site_type_symbol
_atom_site_fract_x
_atom_site_fract_y
_atom_site_fract_z
Pm1 Pm 0.0000 0.0000 0.0000
V1 V 0.3333 0.6667 0.3190
Bi1 Bi 0.0000 0.0000 0.5000
O1 O 0.1650 0.3300 0.2420
O2 O 0.3333 0.6667 0.5595
# * uncorrected energy: -88.06 eV for the cell shown

Record 3
# Pm2BiWO8 GGA+U relaxed
data_Pm2BiWO8
_cell_length_a 7.176
_cell_length_b 7.408
_cell_length_c 6.943
_cell_angle_alpha 90.00
_cell_angle_beta 90.00
_cell_angle_gamma 90.00
_symmetry_space_group_name_H-M 'C m m m'
_symmetry_Int_Tables_number 65
_symmetry_space_group_name_Hall '-C 2 2'
loop_
_atom_site_label
_atom_site_type_symbol
_atom_site_fract_x
_atom_site_fract_y
_atom_site_fract_z
Pm1 Pm 0.000 0.000 0.242
Bi1 Bi 0.000 0.500 0.500
W1 W 0.000 0.500 0.000
O1 O 0.000 0.322 0.213
O2 O 0.198 0.000 0.500
O3 O 0.229 0.000 0.000
# * uncorrected energy: -176.30 eV for the cell shown